Entry 1:
TiAgHg2H | PBE | relaxed

a b c (Å): 5.0395 5.0395 3.4252
angles (deg): 90.00 90.00 90.00
Closest atoms and distances in Å follow each position.
Element x y z (fractional)
Ti 0.0000 0.0000 0.0000  8 Hg 3.05
Ag 0.5000 0.5000 0.0000  2 H 1.71
Hg 0.0000 0.5000 0.5000  2 H 2.52
Hg 0.5000 0.0000 0.5000  2 H 2.52
H 0.5000 0.5000 0.5000  2 Ag 1.71

Summary:
* VASP energy: -2.583 eV per atom
* total moment: 1.034 μB/f.u.
* DOS(E_F): 2.58 states/eV/f.u.



Entry 2:
TlAgHg2H | PBE | relaxed

a b c (Å): 5.8313 5.8313 3.4943
angles (deg): 90.00 90.00 90.00
Closest atoms and distances in Å follow each position.
Element x y z (fractional)
Tl 0.0000 0.0000 0.0000  8 Hg 3.40, 2 Tl 3.49
Ag 0.5000 0.5000 0.5000  2 H 1.75
Hg 0.0000 0.5000 0.5000  2 Ag 2.92
Hg 0.5000 0.0000 0.5000  2 Ag 2.92
H 0.5000 0.5000 0.0000  2 Ag 1.75

Summary:
* VASP energy: -1.683 eV per atom
* total moment: 0.000 μB/f.u.
* DOS(E_F): 0.95 states/eV/f.u.
* polymorph energy (0 for the lowest one): 0.0 kJ per mole of atoms



Entry 3:
TlAgHg2H | PBE | relaxed

a b c (Å): 5.6482 5.6482 3.5032
angles (deg): 90.00 90.00 90.00
Closest atoms and distances in Å follow each position.
Element x y z (fractional)
Tl 0.0000 0.0000 0.0000  8 Hg 3.32, 2 Tl 3.50
Ag 0.5000 0.5000 0.0000  2 H 1.75
Hg 0.0000 0.5000 0.5000  2 H 2.82
Hg 0.5000 0.0000 0.5000  2 H 2.82
H 0.5000 0.5000 0.5000  2 Ag 1.75

Summary:
* VASP energy: -1.651 eV per atom
* total moment: 0.000 μB/f.u.
* DOS(E_F): 1.30 states/eV/f.u.
* polymorph energy (0 for the lowest one): 3.1 kJ per mole of atoms



Entry 4:
Ho3AgH | PBE | relaxed

a b c (Å): 4.7724 4.7724 4.7724
angles (deg): 90.00 90.00 90.00
Closest atoms and distances in Å follow each position.
Element x y z (fractional)
Ho 0.0000 0.0000 0.5000  2 H 2.39
Ho 0.0000 0.5000 0.0000  2 H 2.39
Ho 0.5000 0.0000 0.0000  2 H 2.39
Ag 0.5000 0.5000 0.5000  12 Ho 3.37
H 0.0000 0.0000 0.0000  6 Ho 2.39

Summary:
* VASP energy: -4.124 eV per atom
* total moment: 0.998 μB/f.u.
* DOS(E_F): 7.27 states/eV/f.u.



Entry 5:
Ho3Ag5H12 | PBE | relaxed

a b c (Å): 10.5344 10.5344 10.5344
angles (deg): 109.47 109.47 109.47
Closest atoms and distances in Å follow each position.
Element x y z (fractional)
Ho 0.1250 0.2500 0.3750  8 H 2.24-2.29
Ho 0.1250 0.3750 0.7500  8 H 2.24-2.29
Ho 0.2500 0.3750 0.1250  8 H 2.24-2.29
Ho 0.2500 0.8750 0.6250  8 H 2.24-2.29
Ho 0.3750 0.1250 0.2500  8 H 2.24-2.29
Ho 0.3750 0.7500 0.1250  8 H 2.24-2.29
Ho 0.6250 0.2500 0.8750  8 H 2.24-2.29
Ho 0.6250 0.8750 0.7500  8 H 2.24-2.29
Ho 0.7500 0.1250 0.3750  8 H 2.24-2.29
Ho 0.7500 0.6250 0.8750  8 H 2.24-2.29
Ho 0.8750 0.6250 0.2500  8 H 2.24-2.29
Ho 0.8750 0.7500 0.6250  8 H 2.24-2.29
Ag 0.0000 0.0000 0.0000  6 H 2.08
Ag 0.0000 0.0000 0.5000  6 H 2.08
Ag 0.0000 0.5000 0.0000  6 H 2.08
Ag 0.0000 0.5000 0.5000  6 H 2.08
Ag 0.1250 0.7500 0.8750  4 H 1.89
Ag 0.1250 0.8750 0.2500  4 H 1.89
Ag 0.2500 0.1250 0.8750  4 H 1.89
Ag 0.2500 0.6250 0.3750  4 H 1.89
Ag 0.3750 0.2500 0.6250  4 H 1.89
Ag 0.3750 0.6250 0.7500  4 H 1.89
Ag 0.5000 0.0000 0.0000  6 H 2.08
Ag 0.5000 0.0000 0.5000  6 H 2.08
Ag 0.5000 0.5000 0.0000  6 H 2.08
Ag 0.5000 0.5000 0.5000  6 H 2.08
Ag 0.6250 0.3750 0.2500  4 H 1.89
Ag 0.6250 0.7500 0.3750  4 H 1.89
Ag 0.7500 0.3750 0.6250  4 H 1.89
Ag 0.7500 0.8750 0.1250  4 H 1.89
Ag 0.8750 0.1250 0.7500  4 H 1.89
Ag 0.8750 0.2500 0.1250  4 H 1.89
H 0.0460 0.2225 0.1373  2 Ag 1.89-2.08
H 0.0460 0.3234 0.9087  2 Ag 1.89-2.08
H 0.0853 0.7225 0.6766  2 Ag 1.89-2.08
H 0.0853 0.8627 0.4087  2 Ag 1.89-2.08
H 0.0913 0.6373 0.4147  2 Ag 1.89-2.08
H 0.0913 0.9540 0.6766  2 Ag 1.89-2.08
H 0.1373 0.0460 0.2225  2 Ag 1.89-2.08
H 0.1373 0.5913 0.9147  2 Ag 1.89-2.08
H 0.1766 0.2225 0.5853  2 Ag 1.89-2.08
H 0.1766 0.4540 0.5913  2 Ag 1.89-2.08
H 0.2225 0.1373 0.0460  2 Ag 1.89-2.08
H 0.2225 0.5853 0.1766  2 Ag 1.89-2.08
H 0.2775 0.3234 0.9147  2 Ag 1.89-2.08
H 0.2775 0.4540 0.3627  2 Ag 1.89-2.08
H 0.3234 0.9087 0.0460  2 Ag 1.89-2.08
H 0.3234 0.9147 0.2775  2 Ag 1.89-2.08
H 0.3627 0.2775 0.4540  2 Ag 1.89-2.08
H 0.3627 0.5853 0.9087  2 Ag 1.89-2.08
H 0.4087 0.0853 0.8627  2 Ag 1.89-2.08
H 0.4087 0.8234 0.5460  2 Ag 1.89-2.08
H 0.4147 0.0913 0.6373  2 Ag 1.89-2.08
H 0.4147 0.8234 0.7775  2 Ag 1.89-2.08
H 0.4540 0.3627 0.2775  2 Ag 1.89-2.08
H 0.4540 0.5913 0.1766  2 Ag 1.89-2.08
H 0.5460 0.4087 0.8234  2 Ag 1.89-2.08
H 0.5460 0.6373 0.7225  2 Ag 1.89-2.08
H 0.5853 0.1766 0.2225  2 Ag 1.89-2.08
H 0.5853 0.9087 0.3627  2 Ag 1.89-2.08
H 0.5913 0.1766 0.4540  2 Ag 1.89-2.08
H 0.5913 0.9147 0.1373  2 Ag 1.89-2.08
H 0.6373 0.4147 0.0913  2 Ag 1.89-2.08
H 0.6373 0.7225 0.5460  2 Ag 1.89-2.08
H 0.6766 0.0853 0.7225  2 Ag 1.89-2.08
H 0.6766 0.0913 0.9540  2 Ag 1.89-2.08
H 0.7225 0.5460 0.6373  2 Ag 1.89-2.08
H 0.7225 0.6766 0.0853  2 Ag 1.89-2.08
H 0.7775 0.4147 0.8234  2 Ag 1.89-2.08
H 0.7775 0.8627 0.9540  2 Ag 1.89-2.08
H 0.8234 0.5460 0.4087  2 Ag 1.89-2.08
H 0.8234 0.7775 0.4147  2 Ag 1.89-2.08
H 0.8627 0.4087 0.0853  2 Ag 1.89-2.08
H 0.8627 0.9540 0.7775  2 Ag 1.89-2.08
H 0.9087 0.0460 0.3234  2 Ag 1.89-2.08
H 0.9087 0.3627 0.5853  2 Ag 1.89-2.08
H 0.9147 0.1373 0.5913  2 Ag 1.89-2.08
H 0.9147 0.2775 0.3234  2 Ag 1.89-2.08
H 0.9540 0.6766 0.0913  2 Ag 1.89-2.08
H 0.9540 0.7775 0.8627  2 Ag 1.89-2.08

Summary:
* VASP energy: -3.553 eV per atom
* total moment: 0.000 μB/f.u.
* DOS(E_F): 3.52 states/eV/f.u.



Entry 6:
Ag2HI2 | PBE | relaxed

a b c (Å): 8.1584 8.1584 7.6229
angles (deg): 116.76 116.76 39.88
Closest atoms and distances in Å follow each position.
Element x y z (fractional)
Ag 0.0718 0.0718 0.3290  1 H 1.65
Ag 0.3726 0.3726 0.0187  3 I 2.87-2.97
Ag 0.6274 0.6274 0.9813  3 I 2.87-2.97
Ag 0.9282 0.9282 0.6710  1 H 1.65
H 0.1932 0.1932 0.4162  1 Ag 1.65
H 0.8068 0.8068 0.5838  1 Ag 1.65
I 0.1356 0.1356 0.8528  3 Ag 2.80-2.97
I 0.3933 0.3933 0.6638  3 H 2.73-3.02, 3 Ag 2.83-2.87
I 0.6067 0.6067 0.3362  3 H 2.73-3.02, 3 Ag 2.83-2.87
I 0.8644 0.8644 0.1472  3 Ag 2.80-2.97

Summary:
* VASP energy: -2.331 eV per atom
* total moment: 0.000 μB/f.u.
* DOS(E_F): 0.69 states/eV/f.u.